# 1
DFT (PBE-GGA) results for an optimized crystal structure of TlAsCI2.

Structure (POSCAR):
```
TlAsCI2
1.0
-1.991 4.861 -2.271
-5.044 -2.694 -1.345
-2.154 1.494 5.087
I C Tl As
2 1 1 1
direct
0.000 0.000 0.500
0.500 0.000 0.000
0.500 0.500 0.500
0.000 0.500 0.000
0.000 0.000 0.000
```

Results
SG = No. 123
Formation energy without anion corrections = 1417 meV/atom
Volume = 38.481 Å³/atom
Crystal system = tetragonal
Magnetic moment = 2.30 μB per formula unit

***

# 2
DFT (PBE-GGA) results for an optimized crystal structure of MnCrAu2.

Structure (POSCAR):
```
MnCrAu2
1.0
-1.041 2.389 1.095
-0.488 -1.335 2.448
6.585 0.612 4.923
Au Cr Mn
2 1 1
direct
0.000 0.022 0.979
0.500 0.228 0.272
0.000 0.481 0.519
0.500 0.770 0.731
```

Results
SG = No. 99
Volume = 15.492 Å³/atom
Crystal system = tetragonal
Magnetic moment = 4.95 μB per formula unit
Calculated formation energy = 244 meV/atom

***

# 3
DFT (PBE-GGA) results for an optimized crystal structure of Na3Nb3NiSe8.

Structure (POSCAR):
```
Na3Nb3NiSe8
1.0
7.336 0.000 0.000
-3.668 6.335 -0.022
0.000 -4.192 7.329
Na Nb Ni Se
3 3 1 8
direct
0.000 0.000 0.000
0.000 0.500 0.000
0.500 0.500 0.000
0.500 0.000 0.500
0.500 0.500 0.500
0.000 0.500 0.500
0.000 0.000 0.500
0.260 0.519 0.279
0.740 0.481 0.721
0.772 0.543 0.295
0.228 0.457 0.705
0.771 0.025 0.296
0.229 0.975 0.704
0.253 0.025 0.296
0.747 0.975 0.704
```

Results
SG = No. 12
Formation energy without anion corrections = -758 meV/atom
Volume = 22.663 Å³/atom
Crystal system = monoclinic
Magnetic moment = 0.00 μB per formula unit

***

Question: What is the formula in the second record?
Answer: MnCrAu2

***

Question: The lowest magnetic moment belongs to which entry?
Answer: Na3Nb3NiSe8